[1]
Here is an optimized crystal structure of Li2RhO3 from Alexandria. Energies are from PBE.

Output
ΔE_f (raw) ... -1.37 eV per atom
Density of states at the Fermi level ... 3.01 states/eV/f.u.

Cell lengths 5.1071, 5.1071, 5.2050 Å; angles 100.90, 100.90, 118.61 degrees
With the nearest neighbours (Å) after each atom.
Fractional positions:
Li 0.0836 0.9164 0.7500  6 O 2.06-2.28
Li 0.2482 0.7518 0.2500  6 O 2.10-2.16
Li 0.7518 0.2482 0.7500  6 O 2.10-2.16
Li 0.9164 0.0836 0.2500  6 O 2.06-2.28
Rh 0.4111 0.5889 0.7500  6 O 2.01-2.04
Rh 0.5889 0.4111 0.2500  6 O 2.01-2.04
O 0.0000 0.5000 0.5000  2 Rh 2.03, 4 Li 2.07-2.16
O 0.1986 0.3484 0.9960  2 Rh 2.01-2.04, 3 Li 2.06-2.15
O 0.3484 0.1986 0.4960  2 Rh 2.01-2.04, 3 Li 2.06-2.15
O 0.5000 0.0000 0.0000  2 Rh 2.03, 4 Li 2.07-2.16
O 0.6516 0.8014 0.5040  2 Rh 2.01-2.04, 3 Li 2.06-2.15
O 0.8014 0.6516 0.0040  2 Rh 2.01-2.04, 3 Li 2.06-2.15

[2]
Here is an optimized crystal structure of LiRhO2 from Alexandria. Energies are from PBE.

Output
ΔE_f (raw) ... -1.16 eV per atom

Cell lengths 3.0510, 3.0510, 5.0231 Å; angles 90.00, 90.00, 120.00 degrees
With the nearest neighbours (Å) after each atom.
Fractional positions:
Li 0.0000 0.0000 0.0000  6 O 2.24, 2 Rh 2.51
Rh 0.0000 0.0000 0.5000  6 O 2.09
O 0.3333 0.6667 0.2766  3 Rh 2.09, 3 Li 2.24
O 0.6667 0.3333 0.7234  3 Rh 2.09, 3 Li 2.24

[3]
Here is an optimized crystal structure of Li4Rh3O8 from Alexandria. Energies are from PBE.

Output
ΔE_f (raw) ... -1.23 eV per atom
Density of states at the Fermi level ... 15.71 states/eV/f.u.

Cell lengths 6.1809, 6.1809, 6.1809 Å; angles 58.31, 58.31, 58.31 degrees
With the nearest neighbours (Å) after each atom.
Fractional positions:
Li 0.0000 0.0000 0.0000  6 O 2.11, 2 Li 2.18
Li 0.1420 0.1420 0.1420  4 O 1.89-2.11
Li 0.5000 0.5000 0.5000  6 O 2.23
Li 0.8580 0.8580 0.8580  4 O 1.89-2.11
Rh 0.0000 0.5000 0.5000  6 O 2.02-2.03
Rh 0.5000 0.0000 0.5000  6 O 2.02-2.03
Rh 0.5000 0.5000 0.0000  6 O 2.02-2.03
O 0.2438 0.2438 0.7243  2 Rh 2.02, 3 Li 2.11-2.23
O 0.2438 0.7243 0.2438  2 Rh 2.02, 3 Li 2.11-2.23
O 0.2650 0.2650 0.2650  1 Li 1.89, 3 Rh 2.03
O 0.2757 0.7562 0.7562  2 Rh 2.02, 3 Li 2.11-2.23
O 0.7243 0.2438 0.2438  2 Rh 2.02, 3 Li 2.11-2.23
O 0.7350 0.7350 0.7350  1 Li 1.89, 3 Rh 2.03
O 0.7562 0.2757 0.7562  2 Rh 2.02, 3 Li 2.11-2.23
O 0.7562 0.7562 0.2757  2 Rh 2.02, 3 Li 2.11-2.23

Question: Which of these has the lowest ΔE_f (raw)?
Answer: Li2RhO3